No. 1
ErCuSn after structural relaxation. Source: the Open Quantum Materials Database, functional PBE-GGA.

abc: 4.496 4.496 7.334
angles: 90.00 90.00 120.00
Atoms (fractional coordinates):
Er: 0.000 0.000 0.000
Er: 0.000 0.000 0.500
Cu: 0.333 0.667 0.250
Cu: 0.667 0.333 0.750
Sn: 0.333 0.667 0.750
Sn: 0.667 0.333 0.250

Results
E ... -4.638 eV/atom
Space-group type ... P6_3/mmc, No. 194

No. 2
ErCuSn after structural relaxation. Source: the Open Quantum Materials Database, functional PBE-GGA.

abc: 4.526 4.526 7.218
angles: 90.00 90.00 120.00
Atoms (fractional coordinates):
Er: 0.000 0.000 0.000
Er: 0.000 0.000 0.500
Cu: 0.333 0.667 0.175
Cu: 0.667 0.333 0.675
Sn: 0.333 0.667 0.769
Sn: 0.667 0.333 0.269

Results
E ... -4.689 eV/atom
Space-group type ... P6_3mc, No. 186